VASP calculation (PBE+U) on RbV2IO8 after structural relaxation.

## Properties
The total energy is -6.17 eV/atom. As for the space-group type: No. 12. As for the crystal system: monoclinic.

a = 5.4258 Å, b = 5.4258 Å, c = 8.3916 Å
α = 92.77°, β = 92.77°, γ = 64.73°
Positions (direct):
Rb (0.0000, 0.0000, 0.0000)
V (0.3683, 0.3683, 0.6989)
V (0.6317, 0.6317, 0.3011)
I (0.0000, 0.0000, 0.5000)
O (0.2229, 0.7318, 0.6779)
O (0.2237, 0.2237, 0.5503)
O (0.2682, 0.7771, 0.3221)
O (0.3088, 0.3088, 0.8803)
O (0.6912, 0.6912, 0.1197)
O (0.7318, 0.2229, 0.6779)
O (0.7763, 0.7763, 0.4497)
O (0.7771, 0.2682, 0.3221)